1.
Entry from Alexandria: a relaxed structure of RbH3Pb (GGA-PBEsol).

Structure (CIF):
```
data_RbH3Pb
_chemical_formula_sum 'Rb1 H3 Pb1'
_cell_length_a 4.5787
_cell_length_b 4.5787
_cell_length_c 4.5787
_cell_angle_alpha 90.00
_cell_angle_beta 90.00
_cell_angle_gamma 90.00
_space_group_name_H-M_alt 'P 1'
_space_group_IT_number 1
_space_group_name_Hall 'P 1'
loop_
_atom_site_label
_atom_site_type_symbol
_atom_site_fract_x
_atom_site_fract_y
_atom_site_fract_z
Rb1 Rb 0.0000 0.0000 0.0000
H1 H 0.0000 0.0000 0.5000
H2 H 0.0000 0.5000 0.0000
H3 H 0.5000 0.0000 0.0000
Pb1 Pb 0.5000 0.5000 0.5000
```

For the total moment, the calculation gives 0.00 μB per formula unit. As for the crystal system: cubic. The calculated total energy is -2.12 eV/atom. Its space group is No. 221.

2.
Entry from Alexandria: a relaxed structure of Ni2SbOs (GGA-PBEsol).

Structure (CIF):
```
data_Ni2SbOs
_chemical_formula_sum 'Ni2 Sb1 Os1'
_cell_length_a 8.2745
_cell_length_b 8.2745
_cell_length_c 8.2745
_cell_angle_alpha 19.82
_cell_angle_beta 19.82
_cell_angle_gamma 19.82
_space_group_name_H-M_alt 'P 1'
_space_group_IT_number 1
_space_group_name_Hall 'P 1'
loop_
_atom_site_label
_atom_site_type_symbol
_atom_site_fract_x
_atom_site_fract_y
_atom_site_fract_z
Ni1 Ni 0.2474 0.2474 0.2474
Ni2 Ni 0.7526 0.7526 0.7526
Sb1 Sb 0.0000 0.0000 0.0000
Os1 Os 0.5000 0.5000 0.5000
```

For the total moment, the calculation gives 0.00 μB per formula unit. As for the crystal system: trigonal. For the formation energy without anion corrections, the calculation gives 435 meV per atom. The calculated total energy is -6.84 eV/atom. Its space group is No. 166.

3.
Entry from Alexandria: a relaxed structure of NiAgSe2N (GGA-PBEsol).

Structure (CIF):
```
data_NiAgSe2N
_chemical_formula_sum 'Ni1 Ag1 Se2 N1'
_cell_length_a 5.0300
_cell_length_b 5.0300
_cell_length_c 3.7976
_cell_angle_alpha 90.00
_cell_angle_beta 90.00
_cell_angle_gamma 90.00
_space_group_name_H-M_alt 'P 1'
_space_group_IT_number 1
_space_group_name_Hall 'P 1'
loop_
_atom_site_label
_atom_site_type_symbol
_atom_site_fract_x
_atom_site_fract_y
_atom_site_fract_z
Ni1 Ni 0.0000 0.0000 0.0000
Ag1 Ag 0.5000 0.5000 0.5000
Se1 Se 0.0000 0.5000 0.5000
Se2 Se 0.5000 0.0000 0.5000
N1 N 0.5000 0.5000 0.0000
```

For the total moment, the calculation gives 2.81 μB per formula unit. As for the crystal system: tetragonal. For the formation energy without anion corrections, the calculation gives 1469 meV per atom. The calculated total energy is -3.67 eV/atom. Its space group is No. 123.

4.
Entry from Alexandria: a relaxed structure of YCl (GGA-PBEsol).

Structure (CIF):
```
data_YCl
_chemical_formula_sum 'Y1 Cl1'
_cell_length_a 3.4463
_cell_length_b 3.4463
_cell_length_c 4.1342
_cell_angle_alpha 90.00
_cell_angle_beta 90.00
_cell_angle_gamma 120.00
_space_group_name_H-M_alt 'P 1'
_space_group_IT_number 1
_space_group_name_Hall 'P 1'
loop_
_atom_site_label
_atom_site_type_symbol
_atom_site_fract_x
_atom_site_fract_y
_atom_site_fract_z
Y1 Y 0.0000 0.0000 0.0000
Cl1 Cl 0.3333 0.6667 0.5000
```

For the total moment, the calculation gives 0.00 μB per formula unit. As for the crystal system: hexagonal. For the formation energy without anion corrections, the calculation gives -1387 meV per atom. The calculated total energy is -5.80 eV/atom. Its space group is No. 187.

5.
Entry from Alexandria: a relaxed structure of ZnCuNi2 (GGA-PBEsol).

Structure (CIF):
```
data_ZnCuNi2
_chemical_formula_sum 'Zn1 Cu1 Ni2'
_cell_length_a 2.5282
_cell_length_b 2.5282
_cell_length_c 8.1782
_cell_angle_alpha 98.78
_cell_angle_beta 98.78
_cell_angle_gamma 59.95
_space_group_name_H-M_alt 'P 1'
_space_group_IT_number 1
_space_group_name_Hall 'P 1'
loop_
_atom_site_label
_atom_site_type_symbol
_atom_site_fract_x
_atom_site_fract_y
_atom_site_fract_z
Zn1 Zn 0.0000 0.0000 0.0000
Cu1 Cu 0.5000 0.5000 0.5000
Ni1 Ni 0.2497 0.2497 0.7494
Ni2 Ni 0.7503 0.7503 0.2506
```

For the total moment, the calculation gives 0.00 μB per formula unit. As for the crystal system: monoclinic. The calculated total energy is -4.62 eV/atom. Its space group is No. 12.

6.
Entry from Alexandria: a relaxed structure of BP (GGA-PBEsol).

Structure (CIF):
```
data_BP
_chemical_formula_sum 'B2 P2'
_cell_length_a 3.1801
_cell_length_b 3.1801
_cell_length_c 5.2760
_cell_angle_alpha 90.00
_cell_angle_beta 90.00
_cell_angle_gamma 120.00
_space_group_name_H-M_alt 'P 1'
_space_group_IT_number 1
_space_group_name_Hall 'P 1'
loop_
_atom_site_label
_atom_site_type_symbol
_atom_site_fract_x
_atom_site_fract_y
_atom_site_fract_z
B1 B 0.3333 0.6667 0.0000
B2 B 0.6667 0.3333 0.5000
P1 P 0.3333 0.6667 0.6259
P2 P 0.6667 0.3333 0.1259
```

For the total moment, the calculation gives 0.00 μB per formula unit. As for the crystal system: hexagonal. The calculated total energy is -6.83 eV/atom. Its space group is No. 186.

Number 1: theoretical density 5.12 Mg/m³. Number 2: theoretical density 12.52 Mg/m³. Number 3: theoretical density 5.85 Mg/m³. Number 4: theoretical density 4.86 Mg/m³. Number 5: theoretical density 9.18 Mg/m³. Number 6: theoretical density 3.00 Mg/m³.